(1)
CdCl, relaxed, DFT PBEsol; crystal system = tetragonal; total energy = -7.54 eV per cell
1.0
4.2432 0.0000 0.0000
0.0000 4.2432 0.0000
0.0000 0.0000 5.6856
Cd Cl
2 2
Direct
0.2500 0.7500 0.0000 Cd
0.7500 0.2500 0.0000 Cd
0.2500 0.2500 0.3363 Cl
0.7500 0.7500 0.6637 Cl

(2)
CdCl, relaxed, DFT PBEsol; crystal system = tetragonal; total energy = -7.73 eV per cell
1.0
-1.9893 1.9893 5.9793
1.9893 -1.9893 5.9793
1.9893 1.9893 -5.9793
Cd Cl
2 2
Direct
0.3750 0.6250 0.7500 Cd
0.6250 0.3750 0.2500 Cd
0.1250 0.8750 0.2500 Cl
0.8750 0.1250 0.7500 Cl

(3)
CdCl, relaxed, DFT PBEsol; crystal system = trigonal; total energy = -9.23 eV per cell
1.0
1.8347 1.0593 8.3822
-1.8347 1.0593 8.3822
0.0000 -2.1185 8.3822
Cd Cl
2 2
Direct
0.1249 0.1249 0.1249 Cd
0.8751 0.8751 0.8751 Cd
0.3963 0.3963 0.3963 Cl
0.6037 0.6037 0.6037 Cl

(4)
CdCl, relaxed, DFT PBEsol; crystal system = monoclinic; total energy = -13.16 eV per cell
1.0
6.0101 -1.8610 0.0000
6.0101 1.8610 0.0000
-5.9897 0.0000 6.7555
Cd Cl
3 3
Direct
0.0000 0.0000 0.0000 Cd
0.5518 0.5518 0.6557 Cd
0.6585 0.6585 0.3087 Cd
0.2090 0.2090 0.9137 Cl
0.3364 0.3364 0.6535 Cl
0.9503 0.9503 0.3967 Cl

(5)
CdCl, relaxed, DFT PBEsol; crystal system = cubic; total energy = -3.74 eV per cell
1.0
3.5152 0.0000 0.0000
0.0000 3.5152 0.0000
0.0000 0.0000 3.5152
Cd Cl
1 1
Direct
0.0000 0.0000 0.0000 Cd
0.5000 0.5000 0.5000 Cl

(6)
CdCo2Cl, relaxed, DFT PBEsol; crystal system = tetragonal; distance to the lowest polymorph of the same formula = 0.000 eV per atom; total energy = -17.91 eV per cell
1.0
2.8934 0.0000 0.0000
0.0000 2.8934 0.0000
0.0000 0.0000 7.2744
Cd Co Cl
1 2 1
Direct
0.0000 0.0000 0.0000 Cd
0.0000 0.0000 0.5756 Co
0.5000 0.5000 0.7588 Co
0.5000 0.5000 0.3708 Cl

(7)
CdCo2Cl, relaxed, DFT PBEsol; crystal system = orthorhombic; distance to the lowest polymorph of the same formula = 0.474 eV per atom; total energy = -16.01 eV per cell
1.0
2.7903 -3.6997 0.0000
2.7903 3.6997 0.0000
0.0000 0.0000 2.8572
Cd Co Cl
1 2 1
Direct
0.0000 0.0000 0.0000 Cd
0.0000 0.5000 0.5000 Co
0.5000 0.0000 0.5000 Co
0.5000 0.5000 0.0000 Cl

(8)
Cd3CoCl, relaxed, DFT PBEsol; crystal system = cubic; total energy = -7.74 eV per cell
1.0
5.0922 0.0000 0.0000
0.0000 5.0922 0.0000
0.0000 0.0000 5.0922
Cd Co Cl
3 1 1
Direct
0.0000 0.0000 0.5000 Cd
0.0000 0.5000 0.0000 Cd
0.5000 0.0000 0.0000 Cd
0.5000 0.5000 0.5000 Co
0.0000 0.0000 0.0000 Cl

Raw formation energy: -0.282, -0.330, -0.704, -0.591, -0.266, 0.193, 0.668, 1.120 (eV/atom)